Material: SrTlBiRu2
Method: DFT, PBE
State: optimized geometry

Calculated values
M_tot: 3.08 Bohr magnetons per cell
Crystal system: tetragonal
E_form: 119.5 kJ per mole of atoms

Cell: 5.0947 5.0947 5.7901 Å, 90.00 90.00 90.00°
With the nearest neighbours (Å) after each atom.
Space group P4/mmm (No. 123)
Unique sites:
Sr 0.0000 0.0000 0.0000  2 Tl 2.90
Tl 0.0000 0.0000 0.5000  4 Ru 2.55
Bi 0.5000 0.5000 0.0000  4 Sr 3.60, 8 Ru 3.86
Ru 0.0000 0.5000 0.5000  2 Tl 2.55